Entry 1:
Computed, not measured: an optimized crystal structure of Ca2TaP at the PBE level of DFT.

Lattice parameters (Å, degrees): 8.847 8.847 3.645 78.09 78.09 22.53
Positions (direct):
Ca 0.906 0.906 0.093
Ca 0.594 0.594 0.407
P 0.250 0.250 0.250
Ta 0.750 0.750 0.750

Output
- space group = Immm, No. 71
- DFT formation energy (eV per atom) = -0.18
- ΔE to the lowest computed polymorph (eV per formula unit) = 0.26

Entry 2:
Computed, not measured: an optimized crystal structure of CaTaP2 at the PBE level of DFT.

Lattice parameters (Å, degrees): 4.637 4.637 4.637 60.00 60.00 60.00
Positions (direct):
P 0.250 0.250 0.250
P 0.750 0.750 0.750
Ca 0.000 0.000 0.000
Ta 0.500 0.500 0.500

Output
- space group = Fm-3m, No. 225
- DFT formation energy (eV per atom) = -0.29
- ΔE to the lowest computed polymorph (eV per formula unit) = 2.46

Entry 3:
Computed, not measured: an optimized crystal structure of CaTaP2 at the PBE level of DFT.

Lattice parameters (Å, degrees): 7.154 7.154 7.154 152.94 151.60 39.63
Positions (direct):
Ca 0.295 0.795 0.500
P 0.974 0.974 0.000
P 0.683 0.183 0.500
Ta 0.548 0.548 0.000

Output
- space group = Imm2, No. 44
- DFT formation energy (eV per atom) = -0.72
- ΔE to the lowest computed polymorph (eV per formula unit) = 0.77

Entry 4:
Computed, not measured: an optimized crystal structure of Ca2TaP at the PBE level of DFT.

Lattice parameters (Å, degrees): 4.885 4.885 4.885 60.00 60.00 60.00
Positions (direct):
Ca 0.000 0.000 0.000
Ca 0.250 0.250 0.250
P 0.500 0.500 0.500
Ta 0.750 0.750 0.750

Output
- space group = F-43m, No. 216
- DFT formation energy (eV per atom) = 0.52
- ΔE to the lowest computed polymorph (eV per formula unit) = 3.05

Entry 5:
Computed, not measured: an optimized crystal structure of Ca4TaP at the PBE level of DFT.

Lattice parameters (Å, degrees): 6.273 6.273 6.273 60.00 60.00 60.00
Positions (direct):
Ca 0.875 0.375 0.375
Ca 0.375 0.375 0.875
Ca 0.375 0.875 0.375
Ca 0.375 0.375 0.375
Ta 0.000 0.000 0.000
P 0.750 0.750 0.750

Output
- space group = F-43m, No. 216
- DFT formation energy (eV per atom) = 0.94

Entry 6:
Computed, not measured: an optimized crystal structure of Ca2TaP2 at the PBE level of DFT.

Lattice parameters (Å, degrees): 6.964 6.964 4.219 90.00 90.00 90.00
Positions (direct):
P 0.337 0.837 0.000
P 0.837 0.663 0.000
P 0.663 0.163 0.000
P 0.163 0.337 0.000
Ca 0.155 0.655 0.500
Ca 0.655 0.845 0.500
Ca 0.845 0.345 0.500
Ca 0.345 0.155 0.500
Ta 0.000 0.000 0.000
Ta 0.500 0.500 0.000

Output
- space group = P4/mbm, No. 127
- DFT formation energy (eV per atom) = -0.68

Entry 7:
Computed, not measured: an optimized crystal structure of CaTaP2 at the PBE level of DFT.

Lattice parameters (Å, degrees): 4.820 3.612 5.107 69.31 90.00 90.00
Positions (direct):
Ca 0.500 0.655 0.815
P 0.000 0.079 0.967
P 0.500 0.372 0.381
Ta 0.000 0.394 0.337

Output
- space group = Amm2, No. 38
- DFT formation energy (eV per atom) = -0.55
- ΔE to the lowest computed polymorph (eV per formula unit) = 1.44

Entry 8:
Computed, not measured: an optimized crystal structure of CaTaP2 at the PBE level of DFT.

Lattice parameters (Å, degrees): 3.670 3.670 6.955 74.72 74.72 59.99
Positions (direct):
Ca 0.250 0.250 0.250
P 0.011 0.011 0.968
P 0.489 0.489 0.532
Ta 0.750 0.750 0.750

Output
- space group = R-3m, No. 166
- DFT formation energy (eV per atom) = -0.91
- ΔE to the lowest computed polymorph (eV per formula unit) = 0.00

Entry 9:
Computed, not measured: an optimized crystal structure of Ca2TaP at the PBE level of DFT.

Lattice parameters (Å, degrees): 5.574 5.574 3.202 89.97 89.97 118.59
Positions (direct):
Ca 0.000 0.000 0.000
Ca 0.500 0.500 0.000
P 0.500 0.000 0.500
Ta 0.000 0.500 0.500

Output
- space group = Cmmm, No. 65
- DFT formation energy (eV per atom) = 0.31
- ΔE to the lowest computed polymorph (eV per formula unit) = 2.24

Entry 10:
Computed, not measured: an optimized crystal structure of Ca2TaP at the PBE level of DFT.

Lattice parameters (Å, degrees): 9.914 9.914 9.914 19.27 19.27 19.27
Positions (direct):
Ca 0.989 0.989 0.989
Ca 0.511 0.511 0.511
P 0.250 0.250 0.250
Ta 0.750 0.750 0.750

Output
- space group = R-3m, No. 166
- DFT formation energy (eV per atom) = 0.24
- ΔE to the lowest computed polymorph (eV per formula unit) = 1.95

Entry 11:
Computed, not measured: an optimized crystal structure of Ca2TaP at the PBE level of DFT.

Lattice parameters (Å, degrees): 6.164 6.164 5.498 61.43 61.43 32.87
Positions (direct):
Ca 0.016 0.016 0.985
Ca 0.203 0.203 0.267
P 0.466 0.466 0.598
Ta 0.815 0.815 0.650

Output
- space group = Cm, No. 8
- DFT formation energy (eV per atom) = -0.12
- ΔE to the lowest computed polymorph (eV per formula unit) = 0.53

Entry 12:
Computed, not measured: an optimized crystal structure of Ca2TaP at the PBE level of DFT.

Lattice parameters (Å, degrees): 2.993 3.212 9.272 90.00 90.00 90.00
Positions (direct):
Ca 0.000 0.000 0.034
Ca 0.000 0.000 0.466
P 0.500 0.500 0.250
Ta 0.500 0.500 0.750

Output
- space group = Pmmm, No. 47
- DFT formation energy (eV per atom) = 0.09
- ΔE to the lowest computed polymorph (eV per formula unit) = 1.36